No. 1
# PBE K3Ce2TmO6, optimized geometry
# formation energy (no corrections) = -3069 kJ/mol of formula units
# crystal system = monoclinic
data_K3Ce2TmO6
_chemical_formula_sum 'K3 Ce2 Tm1 O6'
_cell_length_a 6.1944
_cell_length_b 6.1944
_cell_length_c 6.6044
_cell_angle_alpha 98.99
_cell_angle_beta 98.99
_cell_angle_gamma 120.01
_space_group_name_H-M_alt 'P 1'
_space_group_IT_number 1
_space_group_name_Hall 'P 1'
loop_
_atom_site_label
_atom_site_type_symbol
_atom_site_fract_x
_atom_site_fract_y
_atom_site_fract_z
_atom_site_occupancy
K1 K 0.0000 0.0000 0.0000 1
K2 K 0.3355 0.6645 0.0000 1
K3 K 0.6645 0.3355 0.0000 1
Ce1 Ce 0.1668 0.8332 0.5000 1
Ce2 Ce 0.8332 0.1668 0.5000 1
Tm1 Tm 0.5000 0.5000 0.5000 1
O1 O 0.1177 0.4376 0.3129 1
O2 O 0.2423 0.2423 0.6868 1
O3 O 0.4376 0.1177 0.3129 1
O4 O 0.5624 0.8823 0.6871 1
O5 O 0.7577 0.7577 0.3132 1
O6 O 0.8823 0.5624 0.6871 1


No. 2
# PBE HfZrMn3, optimized geometry
# energy above the lowest structure with this stoichiometry = 0.0 kJ per mole of atoms
# crystal system = cubic
# E_form = 25.83 kcal/mol of atoms
data_HfZrMn3
_chemical_formula_sum 'Hf1 Zr1 Mn3'
_cell_length_a 4.6541
_cell_length_b 4.6541
_cell_length_c 4.6541
_cell_angle_alpha 90.00
_cell_angle_beta 90.00
_cell_angle_gamma 90.00
_space_group_name_H-M_alt 'P 1'
_space_group_IT_number 1
_space_group_name_Hall 'P 1'
loop_
_atom_site_label
_atom_site_type_symbol
_atom_site_fract_x
_atom_site_fract_y
_atom_site_fract_z
_atom_site_occupancy
Hf1 Hf 0.0000 0.0000 0.0000 1
Zr1 Zr 0.5000 0.5000 0.5000 1
Mn1 Mn 0.0000 0.0000 0.5000 1
Mn2 Mn 0.0000 0.5000 0.0000 1
Mn3 Mn 0.5000 0.0000 0.0000 1


No. 3
# PBE KSiMo2, optimized geometry
# formation energy (no corrections) = 535 kJ/mol of formula units
# crystal system = tetragonal
data_KSiMo2
_chemical_formula_sum 'K1 Si1 Mo2'
_cell_length_a 4.8069
_cell_length_b 4.8069
_cell_length_c 4.8069
_cell_angle_alpha 127.15
_cell_angle_beta 127.15
_cell_angle_gamma 78.00
_space_group_name_H-M_alt 'P 1'
_space_group_IT_number 1
_space_group_name_Hall 'P 1'
loop_
_atom_site_label
_atom_site_type_symbol
_atom_site_fract_x
_atom_site_fract_y
_atom_site_fract_z
_atom_site_occupancy
K1 K 0.0000 0.0000 0.0000 1
Si1 Si 0.5000 0.5000 0.0000 1
Mo1 Mo 0.2500 0.7500 0.5000 1
Mo2 Mo 0.7500 0.2500 0.5000 1


No. 4
# PBE Cs2LiTiF6, optimized geometry
# formation energy (no corrections) = -2948 kJ/mol of formula units
# crystal system = orthorhombic
data_Cs2LiTiF6
_chemical_formula_sum 'Cs4 Li2 Ti2 F12'
_cell_length_a 6.3966
_cell_length_b 7.9604
_cell_length_c 6.9047
_cell_angle_alpha 90.00
_cell_angle_beta 90.00
_cell_angle_gamma 90.00
_space_group_name_H-M_alt 'P 1'
_space_group_IT_number 1
_space_group_name_Hall 'P 1'
loop_
_atom_site_label
_atom_site_type_symbol
_atom_site_fract_x
_atom_site_fract_y
_atom_site_fract_z
_atom_site_occupancy
Cs1 Cs 0.2500 0.0104 0.2197 1
Cs2 Cs 0.2500 0.4896 0.2197 1
Cs3 Cs 0.7500 0.5104 0.7803 1
Cs4 Cs 0.7500 0.9896 0.7803 1
Li1 Li 0.2500 0.7500 0.6278 1
Li2 Li 0.7500 0.2500 0.3722 1
Ti1 Ti 0.2500 0.2500 0.7164 1
Ti2 Ti 0.7500 0.7500 0.2836 1
F1 F 0.0165 0.2500 0.5141 1
F2 F 0.0399 0.2500 0.9262 1
F3 F 0.2500 0.5034 0.7094 1
F4 F 0.2500 0.9966 0.7094 1
F5 F 0.4601 0.2500 0.9262 1
F6 F 0.4835 0.2500 0.5141 1
F7 F 0.5165 0.7500 0.4859 1
F8 F 0.5399 0.7500 0.0738 1
F9 F 0.7500 0.0034 0.2906 1
F10 F 0.7500 0.4966 0.2906 1
F11 F 0.9601 0.7500 0.0738 1
F12 F 0.9835 0.7500 0.4859 1


No. 5
# PBE Ho4CdCuAu2, optimized geometry
# crystal system = trigonal
# E_form = -13.10 kcal/mol of atoms
data_Ho4CdCuAu2
_chemical_formula_sum 'Ho4 Cd1 Cu1 Au2'
_cell_length_a 8.7838
_cell_length_b 8.7838
_cell_length_c 8.7838
_cell_angle_alpha 33.60
_cell_angle_beta 33.60
_cell_angle_gamma 33.60
_space_group_name_H-M_alt 'P 1'
_space_group_IT_number 1
_space_group_name_Hall 'P 1'
loop_
_atom_site_label
_atom_site_type_symbol
_atom_site_fract_x
_atom_site_fract_y
_atom_site_fract_z
_atom_site_occupancy
Ho1 Ho 0.1188 0.1188 0.1188 1
Ho2 Ho 0.3698 0.3698 0.3698 1
Ho3 Ho 0.6302 0.6302 0.6302 1
Ho4 Ho 0.8812 0.8812 0.8812 1
Cd1 Cd 0.5000 0.5000 0.5000 1
Cu1 Cu 0.0000 0.0000 0.0000 1
Au1 Au 0.2446 0.2446 0.2446 1
Au2 Au 0.7554 0.7554 0.7554 1


No. 6
# PBE UCdPb, optimized geometry
# crystal system = monoclinic
# E_form = 3.55 kcal/mol of atoms
data_UCdPb
_chemical_formula_sum 'U2 Cd2 Pb2'
_cell_length_a 5.4872
_cell_length_b 3.6923
_cell_length_c 7.6725
_cell_angle_alpha 90.00
_cell_angle_beta 100.47
_cell_angle_gamma 90.00
_space_group_name_H-M_alt 'P 1'
_space_group_IT_number 1
_space_group_name_Hall 'P 1'
loop_
_atom_site_label
_atom_site_type_symbol
_atom_site_fract_x
_atom_site_fract_y
_atom_site_fract_z
_atom_site_occupancy
U1 U 0.0272 0.2500 0.1104 1
U2 U 0.9728 0.7500 0.8896 1
Cd1 Cd 0.2161 0.7500 0.4853 1
Cd2 Cd 0.7839 0.2500 0.5147 1
Pb1 Pb 0.4532 0.2500 0.8182 1
Pb2 Pb 0.5468 0.7500 0.1818 1


No. 7
# PBE LaScAlTl, optimized geometry
# crystal system = cubic
# E_form = -7.06 kcal/mol of atoms
data_LaScAlTl
_chemical_formula_sum 'La1 Sc1 Al1 Tl1'
_cell_length_a 5.2577
_cell_length_b 5.2577
_cell_length_c 5.2577
_cell_angle_alpha 60.00
_cell_angle_beta 60.00
_cell_angle_gamma 60.00
_space_group_name_H-M_alt 'P 1'
_space_group_IT_number 1
_space_group_name_Hall 'P 1'
loop_
_atom_site_label
_atom_site_type_symbol
_atom_site_fract_x
_atom_site_fract_y
_atom_site_fract_z
_atom_site_occupancy
La1 La 0.0000 0.0000 0.0000 1
Sc1 Sc 0.5000 0.5000 0.5000 1
Al1 Al 0.2500 0.2500 0.2500 1
Tl1 Tl 0.7500 0.7500 0.7500 1


No. 8
# PBE MgSnGeBi, optimized geometry
# crystal system = cubic
# E_form = 2.61 kcal/mol of atoms
data_MgSnGeBi
_chemical_formula_sum 'Mg1 Sn1 Ge1 Bi1'
_cell_length_a 5.2438
_cell_length_b 5.2438
_cell_length_c 5.2438
_cell_angle_alpha 60.00
_cell_angle_beta 60.00
_cell_angle_gamma 60.00
_space_group_name_H-M_alt 'P 1'
_space_group_IT_number 1
_space_group_name_Hall 'P 1'
loop_
_atom_site_label
_atom_site_type_symbol
_atom_site_fract_x
_atom_site_fract_y
_atom_site_fract_z
_atom_site_occupancy
Mg1 Mg 0.0000 0.0000 0.0000 1
Sn1 Sn 0.7500 0.7500 0.7500 1
Ge1 Ge 0.5000 0.5000 0.5000 1
Bi1 Bi 0.2500 0.2500 0.2500 1


No. 9
# PBE LiCd7Hg2, optimized geometry
# crystal system = orthorhombic
# E_form = 0.06 kcal/mol of atoms
data_LiCd7Hg2
_chemical_formula_sum 'Li1 Cd7 Hg2'
_cell_length_a 9.9295
_cell_length_b 9.9295
_cell_length_c 3.0717
_cell_angle_alpha 90.00
_cell_angle_beta 90.00
_cell_angle_gamma 123.79
_space_group_name_H-M_alt 'P 1'
_space_group_IT_number 1
_space_group_name_Hall 'P 1'
loop_
_atom_site_label
_atom_site_type_symbol
_atom_site_fract_x
_atom_site_fract_y
_atom_site_fract_z
_atom_site_occupancy
Li1 Li 0.0000 0.0000 0.0000 1
Cd1 Cd 0.1357 0.3131 0.5000 1
Cd2 Cd 0.1769 0.8231 0.0000 1
Cd3 Cd 0.3131 0.1357 0.5000 1
Cd4 Cd 0.5000 0.5000 0.5000 1
Cd5 Cd 0.6869 0.8643 0.5000 1
Cd6 Cd 0.8231 0.1769 0.0000 1
Cd7 Cd 0.8643 0.6869 0.5000 1
Hg1 Hg 0.3239 0.6761 0.5000 1
Hg2 Hg 0.6761 0.3239 0.5000 1


No. 10
# PBE Sr2AsPb, optimized geometry
# energy above the lowest structure with this stoichiometry = 9.7 kJ per mole of atoms
# crystal system = monoclinic
# E_form = -14.30 kcal/mol of atoms
data_Sr2AsPb
_chemical_formula_sum 'Sr2 As1 Pb1'
_cell_length_a 7.0195
_cell_length_b 7.0195
_cell_length_c 5.1753
_cell_angle_alpha 111.60
_cell_angle_beta 111.60
_cell_angle_gamma 33.52
_space_group_name_H-M_alt 'P 1'
_space_group_IT_number 1
_space_group_name_Hall 'P 1'
loop_
_atom_site_label
_atom_site_type_symbol
_atom_site_fract_x
_atom_site_fract_y
_atom_site_fract_z
_atom_site_occupancy
Sr1 Sr 0.0000 0.0000 0.0000 1
Sr2 Sr 0.2183 0.2183 0.7174 1
As1 As 0.5038 0.5038 0.5047 1
Pb1 Pb 0.8101 0.8101 0.3090 1


No. 11
# PBE PH2Pd6, optimized geometry
# energy above the lowest structure with this stoichiometry = 3.6 kJ per mole of atoms
# crystal system = monoclinic
data_PH2Pd6
_chemical_formula_sum 'P2 H4 Pd12'
_cell_length_a 5.1547
_cell_length_b 5.3637
_cell_length_c 9.3301
_cell_angle_alpha 90.00
_cell_angle_beta 117.34
_cell_angle_gamma 90.00
_space_group_name_H-M_alt 'P 1'
_space_group_IT_number 1
_space_group_name_Hall 'P 1'
loop_
_atom_site_label
_atom_site_type_symbol
_atom_site_fract_x
_atom_site_fract_y
_atom_site_fract_z
_atom_site_occupancy
P1 P 0.0000 0.0000 0.0000 1
P2 P 0.0000 0.5000 0.5000 1
H1 H 0.2002 0.0086 0.7275 1
H2 H 0.2002 0.4914 0.2275 1
H3 H 0.7998 0.5086 0.7725 1
H4 H 0.7998 0.9914 0.2725 1
Pd1 Pd 0.1133 0.1602 0.2652 1
Pd2 Pd 0.1133 0.3398 0.7652 1
Pd3 Pd 0.2541 0.6358 0.0597 1
Pd4 Pd 0.2541 0.8642 0.5597 1
Pd5 Pd 0.4678 0.1564 0.1081 1
Pd6 Pd 0.4678 0.3436 0.6081 1
Pd7 Pd 0.5322 0.6564 0.3919 1
Pd8 Pd 0.5322 0.8436 0.8919 1
Pd9 Pd 0.7459 0.1358 0.4403 1
Pd10 Pd 0.7459 0.3642 0.9403 1
Pd11 Pd 0.8867 0.6602 0.2348 1
Pd12 Pd 0.8867 0.8398 0.7348 1


No. 12
# PBE AcPuO, optimized geometry
# formation energy (no corrections) = -414 kJ/mol of formula units
# energy above the lowest structure with this stoichiometry = 10.3 kJ per mole of atoms
# crystal system = trigonal
data_AcPuO
_chemical_formula_sum 'Ac1 Pu1 O1'
_cell_length_a 3.7783
_cell_length_b 3.7783
_cell_length_c 6.1999
_cell_angle_alpha 90.00
_cell_angle_beta 90.00
_cell_angle_gamma 120.00
_space_group_name_H-M_alt 'P 1'
_space_group_IT_number 1
_space_group_name_Hall 'P 1'
loop_
_atom_site_label
_atom_site_type_symbol
_atom_site_fract_x
_atom_site_fract_y
_atom_site_fract_z
_atom_site_occupancy
Ac1 Ac 0.0000 0.0000 0.0000 1
Pu1 Pu 0.3333 0.6667 0.4701 1
O1 O 0.6667 0.3333 0.3321 1


How do the records compare in energy? In the order shown, they have -81.2 -40.4 -22.6 -106.6 -34.4 -30.9 -18.6 -13.6 -8.9 -14.2 -89.8 -27.7 eV/cell.